No. 1
Entry from Alexandria: a geometry-optimized Er3Sc2Zn2 structure (PBE).

a = 3.4689 Å, b = 29.5801 Å, c = 3.3707 Å
α = 90.00°, β = 90.00°, γ = 90.00°
With the nearest neighbours (Å) after each atom.
Space group Cmmm (No. 65)
Symmetry-distinct sites (fractional):
Er 0.0000 0.0000 0.0000 x2  8 Zn 3.02, 2 Er 3.37
Er 0.0000 0.1245 0.0000 x4  4 Zn 3.06, 2 Er 3.37, 4 Sc 3.38
Sc 0.0000 0.2956 0.5000 x4  6 Sc 3.21-3.47, 4 Er 3.38
Zn 0.0000 0.4388 0.5000 x4  8 Er 3.02-3.06, 2 Zn 3.37

## Properties
The polymorph energy (0 for the lowest one) comes out at 0.0191 eV/atom. As for the electronic total energy: -29.5 eV/f.u. The volume comes out at 24.70 A^3/atom.

No. 2
Entry from Alexandria: a geometry-optimized ErSc2Zn4 structure (PBE).

a = 4.8989 Å, b = 4.8989 Å, c = 12.3512 Å
α = 90.00°, β = 90.00°, γ = 90.00°
With the nearest neighbours (Å) after each atom.
Space group I4/mmm (No. 139)
Symmetry-distinct sites (fractional):
Er 0.0000 0.0000 0.0000 x2  8 Zn 2.88
Sc 0.0000 0.0000 0.2644 x4  8 Zn 2.82-3.02
Zn 0.0000 0.5000 0.1219 x8  4 Sc 2.82-3.02, 2 Er 2.88, 1 Zn 3.01

## Properties
As for the electronic total energy: -23.2 eV/f.u. The volume comes out at 21.17 A^3/atom.

No. 3
Entry from Alexandria: a geometry-optimized Er4ScZn structure (PBE).

a = 3.4860 Å, b = 3.4860 Å, c = 13.2470 Å
α = 90.00°, β = 90.00°, γ = 90.00°
With the nearest neighbours (Å) after each atom.
Space group P4/mmm (No. 123)
Symmetry-distinct sites (fractional):
Er 0.0000 0.0000 0.1351 x2  4 Zn 3.05
Er 0.5000 0.5000 0.3272 x2  4 Sc 3.36, 8 Er 3.49-3.54
Sc 0.0000 0.0000 0.5000 x1  8 Er 3.36, 4 Sc 3.49
Zn 0.5000 0.5000 0.0000 x1  8 Er 3.05

## Properties
The polymorph energy (0 for the lowest one) comes out at 0.0000 eV/atom. As for the electronic total energy: -26.4 eV/f.u. The volume comes out at 26.83 A^3/atom.

No. 4
Entry from Alexandria: a geometry-optimized ErSc2Zn3 structure (PBE).

a = 3.4114 Å, b = 3.4114 Å, c = 10.2481 Å
α = 90.00°, β = 90.00°, γ = 90.00°
With the nearest neighbours (Å) after each atom.
Space group P4/mmm (No. 123)
Symmetry-distinct sites (fractional):
Er 0.0000 0.0000 0.0000 x1  8 Zn 3.05, 4 Er 3.41
Sc 0.0000 0.0000 0.3389 x2  8 Zn 2.89-2.92
Zn 0.5000 0.5000 0.1828 x2  4 Sc 2.89, 4 Er 3.05
Zn 0.5000 0.5000 0.5000 x1  8 Sc 2.92, 2 Zn 3.25

## Properties
As for the electronic total energy: -23.2 eV/f.u. The volume comes out at 19.88 A^3/atom.

Number 1: calculated formation energy -91 meV per atom. Number 2: calculated formation energy -132 meV per atom. Number 3: calculated formation energy -86 meV per atom. Number 4: calculated formation energy -359 meV per atom.